The following is a GGA-PBEsol calculation of CdIn2Co after structural relaxation, from the Alexandria database.

Unit cell a=2.869 b=4.440 c=6.823 alpha=108.99 beta=102.14 gamma=90.00
Element x y z (fractional)
Co  0.000  0.500  0.000
In  0.325  0.325  0.651
In  0.675  0.675  0.349
Cd  0.500  0.000  0.000

Output
Final energy: -3.61 eV/atom
ΔE_f: 0.114 eV per atom
Space-group type: No. 71
V: 80 Å³/cell